No. 1
LiMgHg2Br | PBE | optimized geometry

Cell and atoms, written as POSCAR:
```
LiMgHg2Br
1.0
6.621 0.000 0.000
0.000 6.621 0.000
0.000 0.000 5.079
Li Mg Hg Br
1 1 2 1
direct
0.000 0.000 0.000
0.500 0.500 0.000
0.000 0.500 0.500
0.500 0.000 0.500
0.500 0.500 0.500
```

Values from the calculation:
Formation energy without anion corrections (eV/atom): 0.150

=====

No. 2
NaLiHgBr4 | PBE | optimized geometry

Cell and atoms, written as POSCAR:
```
NaLiHgBr4
1.0
-4.134 4.211 5.895
4.134 -4.211 5.895
4.134 4.211 -5.895
Na Li Hg Br
2 2 2 8
direct
0.500 0.000 0.000
0.500 0.500 0.500
0.000 0.000 0.000
0.500 0.000 0.500
0.122 0.372 0.750
0.878 0.628 0.250
0.239 0.233 0.005
0.250 0.229 0.479
0.250 0.770 0.021
0.272 0.767 0.505
0.728 0.233 0.495
0.750 0.230 0.979
0.750 0.771 0.521
0.761 0.767 0.995
```

Values from the calculation:
Formation energy without anion corrections (eV/atom): -1.052